# 1
Below is BaSr2CuHg after structural relaxation, with properties calculated at the GGA-PBE level.

Cell lengths 5.9540, 5.9540, 6.1311 Å; angles 90.00, 90.00, 90.00 degrees
Positions (direct):
Sr 0.0000 0.5000 0.0000
Sr 0.5000 0.0000 0.0000
Hg 0.5000 0.5000 0.5000
Cu 0.0000 0.0000 0.0000
Ba 0.0000 0.0000 0.5000

Properties
Symmetry: P4/mmm, No. 123
E_form (eV/atom): -0.043
Fermi-level density of states (states/eV/cell): 2.6
Volume (Å³/f.u.): 217.3

***

# 2
Below is TaMo3W5 after structural relaxation, with properties calculated at the GGA-PBE level.

Cell lengths 7.1324, 8.2925, 9.5732 Å; angles 125.16, 116.64, 105.02 degrees
Positions (direct):
Ta 0.9996 0.9978 0.6648
Ta 0.0004 0.0022 0.3352
Mo 0.5031 0.3349 0.8348
Mo 0.0010 0.3351 0.3340
Mo 0.0000 0.0000 0.0000
Mo 0.5000 0.0000 0.5000
Mo 0.4969 0.6651 0.1652
Mo 0.9990 0.6649 0.6660
W 0.5007 0.0005 0.1667
W 0.4979 0.6658 0.8306
W 0.0009 0.3340 0.0012
W 0.9996 0.6603 0.3296
W 0.0004 0.3397 0.6704
W 0.9991 0.6660 0.9988
W 0.4989 0.6664 0.5009
W 0.5021 0.3342 0.1694
W 0.4993 0.9995 0.8333
W 0.5011 0.3336 0.4991

Properties
Symmetry: P-1, No. 2
E_form (eV/atom): -0.060
Fermi-level density of states (states/eV/cell): 8.1
Volume (Å³/f.u.): 146.1

***

Total magnetization readings, ordered: 0.00; 0.00 μB/atom